Record 1
A plane-wave DFT calculation with PBE-GGA was carried out for a relaxed K3TbNd2Te6 crystal.

abc: 7.9396 7.9396 8.6684
angles: 98.78 98.78 120.01
Fractional positions:
K  0.0000  0.0000  0.0000
K  0.3316  0.6684  0.0000
K  0.6684  0.3316  0.0000
Tb  0.5000  0.5000  0.5000
Nd  0.1664  0.8336  0.5000
Nd  0.8336  0.1664  0.5000
Te  0.1021  0.4292  0.2873
Te  0.2443  0.2443  0.7132
Te  0.4292  0.1021  0.2873
Te  0.5708  0.8979  0.7127
Te  0.7557  0.7557  0.2868
Te  0.8979  0.5708  0.7127

Calculated total energy: -4.4373 eV/atom
Magnetic moment: 0.0 μB/cell
Formation energy (no corrections): -1.412 eV per atom
Crystal system: monoclinic


Record 2
A plane-wave DFT calculation with PBE-GGA was carried out for a relaxed K3Tb2NdTe6 crystal.

abc: 7.8778 7.8778 8.6571
angles: 98.72 98.72 120.00
Fractional positions:
K  0.0000  0.0000  0.0000
K  0.3349  0.6651  0.0000
K  0.6651  0.3349  0.0000
Tb  0.1668  0.8332  0.5000
Tb  0.8332  0.1668  0.5000
Nd  0.5000  0.5000  0.5000
Te  0.0899  0.4297  0.2890
Te  0.2305  0.2305  0.7109
Te  0.4297  0.0899  0.2890
Te  0.5703  0.9101  0.7110
Te  0.7695  0.7695  0.2891
Te  0.9101  0.5703  0.7110

Calculated total energy: -4.4211 eV/atom
Magnetic moment: 0.0 μB/cell
Formation energy (no corrections): -1.407 eV per atom
Crystal system: monoclinic


Record 3
A plane-wave DFT calculation with PBE-GGA was carried out for a relaxed KNd3Te4 crystal.

abc: 4.5483 4.5483 31.2826
angles: 90.00 90.00 120.00
Fractional positions:
K  0.3333  0.6667  0.2500
K  0.6667  0.3333  0.7500
Nd  0.0000  0.0000  0.0000
Nd  0.0000  0.0000  0.5000
Nd  0.3333  0.6667  0.6164
Nd  0.3333  0.6667  0.8836
Nd  0.6667  0.3333  0.1164
Nd  0.6667  0.3333  0.3836
Te  0.0000  0.0000  0.1737
Te  0.0000  0.0000  0.3263
Te  0.0000  0.0000  0.6737
Te  0.0000  0.0000  0.8263
Te  0.3333  0.6667  0.0582
Te  0.3333  0.6667  0.4418
Te  0.6667  0.3333  0.5582
Te  0.6667  0.3333  0.9418

Calculated total energy: -4.9141 eV/atom
Magnetic moment: 0.0 μB/cell
Formation energy (no corrections): -1.418 eV per atom
Crystal system: hexagonal


Record 4
A plane-wave DFT calculation with PBE-GGA was carried out for a relaxed KNdTe4 crystal.

abc: 6.9449 6.9449 9.0024
angles: 90.00 90.00 90.00
Fractional positions:
K  0.2500  0.2500  0.0000
K  0.7500  0.7500  0.0000
Nd  0.2500  0.2500  0.5000
Nd  0.7500  0.7500  0.5000
Te  0.1058  0.6058  0.2866
Te  0.1058  0.8942  0.7134
Te  0.3942  0.6058  0.7134
Te  0.3942  0.8942  0.2866
Te  0.6058  0.1058  0.7134
Te  0.6058  0.3942  0.2866
Te  0.8942  0.1058  0.2866
Te  0.8942  0.3942  0.7134

Calculated total energy: -4.0283 eV/atom
Magnetic moment: 0.0 μB/cell
Formation energy (no corrections): -0.956 eV per atom
Crystal system: tetragonal


Record 5
A plane-wave DFT calculation with PBE-GGA was carried out for a relaxed KNd2Te3 crystal.

abc: 4.5463 4.5463 12.0253
angles: 90.00 90.00 120.00
Fractional positions:
K  0.0000  0.0000  0.0000
Nd  0.3333  0.6667  0.6544
Nd  0.6667  0.3333  0.3456
Te  0.0000  0.0000  0.5000
Te  0.3333  0.6667  0.1967
Te  0.6667  0.3333  0.8033

Calculated total energy: -4.7649 eV/atom
Magnetic moment: 0.0 μB/cell
Formation energy (no corrections): -1.422 eV per atom
Crystal system: trigonal


Record 6
A plane-wave DFT calculation with PBE-GGA was carried out for a relaxed KNd4Te5 crystal.

abc: 12.1805 12.1805 12.1805
angles: 158.52 149.41 37.68
Fractional positions:
K  0.0000  0.0000  0.0000
Nd  0.2065  0.2065  0.0000
Nd  0.3989  0.3989  0.0000
Nd  0.6011  0.6011  0.0000
Nd  0.7935  0.7935  0.0000
Te  0.1084  0.6084  0.5000
Te  0.3026  0.8026  0.5000
Te  0.5000  0.0000  0.5000
Te  0.6974  0.1974  0.5000
Te  0.8916  0.3916  0.5000

Calculated total energy: -4.9869 eV/atom
Magnetic moment: 0.0 μB/cell
Formation energy (no corrections): -1.399 eV per atom
Crystal system: orthorhombic


Record 7
A plane-wave DFT calculation with PBE-GGA was carried out for a relaxed KNd6Te8 crystal.

abc: 12.0782 12.0782 4.5892
angles: 90.00 90.00 120.00
Fractional positions:
K  0.0000  0.0000  0.0000
Nd  0.1357  0.4845  0.2499
Nd  0.3488  0.8643  0.2499
Nd  0.4845  0.3488  0.7501
Nd  0.5155  0.6512  0.2499
Nd  0.6512  0.1357  0.7501
Nd  0.8643  0.5155  0.7501
Te  0.0458  0.6952  0.2496
Te  0.3048  0.3506  0.2496
Te  0.3333  0.6667  0.7499
Te  0.3506  0.0458  0.7504
Te  0.6494  0.9542  0.2496
Te  0.6667  0.3333  0.2501
Te  0.6952  0.6494  0.7504
Te  0.9542  0.3048  0.7504

Calculated total energy: -5.0188 eV/atom
Magnetic moment: 1.5 μB/cell
Formation energy (no corrections): -1.363 eV per atom
Crystal system: trigonal


Record 8
A plane-wave DFT calculation with PBE-GGA was carried out for a relaxed KNdTe crystal.

abc: 4.8251 4.8251 9.4660
angles: 90.00 90.00 90.00
Fractional positions:
K  0.2500  0.2500  0.1371
K  0.7500  0.7500  0.8629
Nd  0.2500  0.7500  0.5000
Nd  0.7500  0.2500  0.5000
Te  0.2500  0.2500  0.7454
Te  0.7500  0.7500  0.2546

Calculated total energy: -3.8438 eV/atom
Magnetic moment: 1.6 μB/cell
Formation energy (no corrections): -0.841 eV per atom
Crystal system: tetragonal


Record 9
A plane-wave DFT calculation with PBE-GGA was carried out for a relaxed K4Nd3ThTe8 crystal.

abc: 9.8473 9.8473 9.8473
angles: 55.44 55.44 55.44
Fractional positions:
K  0.0000  0.0000  0.0000
K  0.0000  0.5000  0.5000
K  0.5000  0.0000  0.5000
K  0.5000  0.5000  0.0000
Nd  0.0000  0.0000  0.5000
Nd  0.0000  0.5000  0.0000
Nd  0.5000  0.0000  0.0000
Th  0.5000  0.5000  0.5000
Te  0.2390  0.2390  0.2390
Te  0.2430  0.7367  0.7367
Te  0.2633  0.2633  0.7570
Te  0.2633  0.7570  0.2633
Te  0.7367  0.2430  0.7367
Te  0.7367  0.7367  0.2430
Te  0.7570  0.2633  0.2633
Te  0.7610  0.7610  0.7610

Calculated total energy: -4.5615 eV/atom
Magnetic moment: 0.0 μB/cell
Formation energy (no corrections): -1.359 eV per atom
Crystal system: trigonal


Record 10
A plane-wave DFT calculation with PBE-GGA was carried out for a relaxed KNd2Th3Te6 crystal.

abc: 10.2621 10.2621 9.3143
angles: 106.25 106.25 24.79
Fractional positions:
K  0.0000  0.0000  0.0000
Nd  0.3273  0.3273  0.6622
Nd  0.6727  0.6727  0.3378
Th  0.0000  0.0000  0.5000
Th  0.3358  0.3358  0.1774
Th  0.6642  0.6642  0.8226
Te  0.1642  0.1642  0.5764
Te  0.1699  0.1699  0.0795
Te  0.4970  0.4970  0.7411
Te  0.5030  0.5030  0.2589
Te  0.8301  0.8301  0.9205
Te  0.8358  0.8358  0.4236

Calculated total energy: -5.4805 eV/atom
Magnetic moment: 0.0 μB/cell
Formation energy (no corrections): -1.169 eV per atom
Crystal system: monoclinic


Record 11
A plane-wave DFT calculation with PBE-GGA was carried out for a relaxed K2NdTh2Te6 crystal.

abc: 7.8044 7.8044 8.8882
angles: 98.32 98.32 120.14
Fractional positions:
K  0.1652  0.8348  0.0000
K  0.8348  0.1652  0.0000
Nd  0.0000  0.0000  0.5000
Th  0.3330  0.6670  0.5000
Th  0.6670  0.3330  0.5000
Te  0.0728  0.4089  0.7150
Te  0.2694  0.2694  0.2852
Te  0.4089  0.0728  0.7150
Te  0.5911  0.9272  0.2850
Te  0.7306  0.7306  0.7148
Te  0.9272  0.5911  0.2850

Calculated total energy: -4.9696 eV/atom
Magnetic moment: 0.0 μB/cell
Formation energy (no corrections): -1.274 eV per atom
Crystal system: monoclinic


Record 12
A plane-wave DFT calculation with PBE-GGA was carried out for a relaxed K3NdTh2Te6 crystal.

abc: 7.8206 7.8206 8.8156
angles: 98.50 98.50 120.00
Fractional positions:
K  0.0000  0.0000  0.0000
K  0.3343  0.6657  0.0000
K  0.6657  0.3343  0.0000
Nd  0.5000  0.5000  0.5000
Th  0.1667  0.8333  0.5000
Th  0.8333  0.1667  0.5000
Te  0.0896  0.4269  0.2809
Te  0.2357  0.2357  0.7191
Te  0.4269  0.0896  0.2809
Te  0.5731  0.9104  0.7191
Te  0.7643  0.7643  0.2809
Te  0.9104  0.5731  0.7191

Calculated total energy: -4.7339 eV/atom
Magnetic moment: 0.0 μB/cell
Formation energy (no corrections): -1.255 eV per atom
Crystal system: monoclinic


Record 13
A plane-wave DFT calculation with PBE-GGA was carried out for a relaxed K3NdTh3Te8 crystal.

abc: 9.9543 9.9543 9.9543
angles: 53.59 53.59 53.59
Fractional positions:
K  0.0000  0.5000  0.5000
K  0.5000  0.0000  0.5000
K  0.5000  0.5000  0.0000
Nd  0.5000  0.5000  0.5000
Th  0.0000  0.0000  0.5000
Th  0.0000  0.5000  0.0000
Th  0.5000  0.0000  0.0000
Te  0.2329  0.7418  0.7418
Te  0.2399  0.2399  0.2399
Te  0.2582  0.2582  0.7671
Te  0.2582  0.7671  0.2582
Te  0.7418  0.2329  0.7418
Te  0.7418  0.7418  0.2329
Te  0.7601  0.7601  0.7601
Te  0.7671  0.2582  0.2582

Calculated total energy: -4.9409 eV/atom
Magnetic moment: 0.0 μB/cell
Formation energy (no corrections): -1.244 eV per atom
Crystal system: trigonal


Record 14
A plane-wave DFT calculation with PBE-GGA was carried out for a relaxed K2NdThTe4 crystal.

abc: 7.8736 4.5405 8.7629
angles: 90.00 107.31 90.00
Fractional positions:
K  0.0000  0.0000  0.0000
K  0.5000  0.5000  0.0000
Nd  0.0000  0.5000  0.5000
Th  0.5000  0.0000  0.5000
Te  0.2430  0.0000  0.7180
Te  0.2636  0.5000  0.2818
Te  0.7364  0.5000  0.7182
Te  0.7570  0.0000  0.2820

Calculated total energy: -4.6637 eV/atom
Magnetic moment: 0.0 μB/cell
Formation energy (no corrections): -1.295 eV per atom
Crystal system: monoclinic


Record 15
A plane-wave DFT calculation with PBE-GGA was carried out for a relaxed K3Nd2ThTe6 crystal.

abc: 7.9106 7.9106 8.7362
angles: 98.68 98.68 119.99
Fractional positions:
K  0.0000  0.0000  0.0000
K  0.3316  0.6684  0.0000
K  0.6684  0.3316  0.0000
Nd  0.1664  0.8336  0.5000
Nd  0.8336  0.1664  0.5000
Th  0.5000  0.5000  0.5000
Te  0.0989  0.4279  0.2831
Te  0.2440  0.2440  0.7176
Te  0.4279  0.0989  0.2831
Te  0.5721  0.9011  0.7169
Te  0.7560  0.7560  0.2824
Te  0.9011  0.5721  0.7169

Calculated total energy: -4.5979 eV/atom
Magnetic moment: 0.0 μB/cell
Formation energy (no corrections): -1.340 eV per atom
Crystal system: monoclinic


Record 16
A plane-wave DFT calculation with PBE-GGA was carried out for a relaxed K4Nd3TiTe8 crystal.

abc: 9.7649 9.7649 9.7649
angles: 55.05 55.05 55.05
Fractional positions:
K  0.0000  0.0000  0.0000
K  0.0000  0.5000  0.5000
K  0.5000  0.0000  0.5000
K  0.5000  0.5000  0.0000
Nd  0.0000  0.0000  0.5000
Nd  0.0000  0.5000  0.0000
Nd  0.5000  0.0000  0.0000
Ti  0.5000  0.5000  0.5000
Te  0.2396  0.2396  0.2396
Te  0.2589  0.7229  0.7229
Te  0.2771  0.2771  0.7411
Te  0.2771  0.7411  0.2771
Te  0.7229  0.2589  0.7229
Te  0.7229  0.7229  0.2589
Te  0.7411  0.2771  0.2771
Te  0.7604  0.7604  0.7604

Calculated total energy: -4.4677 eV/atom
Magnetic moment: 1.0 μB/cell
Formation energy (no corrections): -1.235 eV per atom
Crystal system: trigonal


Record 17
A plane-wave DFT calculation with PBE-GGA was carried out for a relaxed K2NdTiTe4 crystal.

abc: 7.6193 4.4010 8.6234
angles: 90.00 107.05 90.00
Fractional positions:
K  0.0000  0.0000  0.0000
K  0.5000  0.5000  0.0000
Nd  0.0000  0.5000  0.5000
Ti  0.5000  0.0000  0.5000
Te  0.2608  0.0000  0.7090
Te  0.2923  0.5000  0.3053
Te  0.7077  0.5000  0.6947
Te  0.7392  0.0000  0.2910

Calculated total energy: -4.5029 eV/atom
Magnetic moment: 1.0 μB/cell
Formation energy (no corrections): -1.075 eV per atom
Crystal system: monoclinic


Record 18
A plane-wave DFT calculation with PBE-GGA was carried out for a relaxed K3Nd3TiTe8 crystal.

abc: 9.9170 9.9170 9.9170
angles: 53.55 53.55 53.55
Fractional positions:
K  0.0000  0.5000  0.5000
K  0.5000  0.0000  0.5000
K  0.5000  0.5000  0.0000
Nd  0.0000  0.0000  0.5000
Nd  0.0000  0.5000  0.0000
Nd  0.5000  0.0000  0.0000
Ti  0.5000  0.5000  0.5000
Te  0.2391  0.2391  0.2391
Te  0.2640  0.7167  0.7167
Te  0.2833  0.2833  0.7360
Te  0.2833  0.7360  0.2833
Te  0.7167  0.2640  0.7167
Te  0.7167  0.7167  0.2640
Te  0.7360  0.2833  0.2833
Te  0.7609  0.7609  0.7609

Calculated total energy: -4.5870 eV/atom
Magnetic moment: 0.1 μB/cell
Formation energy (no corrections): -1.212 eV per atom
Crystal system: trigonal


Record 19
A plane-wave DFT calculation with PBE-GGA was carried out for a relaxed K4Nd3TmTe8 crystal.

abc: 9.8028 9.8028 9.8028
angles: 55.69 55.69 55.69
Fractional positions:
K  0.0000  0.0000  0.0000
K  0.0000  0.5000  0.5000
K  0.5000  0.0000  0.5000
K  0.5000  0.5000  0.0000
Nd  0.0000  0.0000  0.5000
Nd  0.0000  0.5000  0.0000
Nd  0.5000  0.0000  0.0000
Tm  0.5000  0.5000  0.5000
Te  0.2387  0.2387  0.2387
Te  0.2464  0.7324  0.7324
Te  0.2676  0.2676  0.7536
Te  0.2676  0.7536  0.2676
Te  0.7324  0.2464  0.7324
Te  0.7324  0.7324  0.2464
Te  0.7536  0.2676  0.2676
Te  0.7613  0.7613  0.7613

Calculated total energy: -4.4210 eV/atom
Magnetic moment: 0.0 μB/cell
Formation energy (no corrections): -1.402 eV per atom
Crystal system: trigonal


Record 20
A plane-wave DFT calculation with PBE-GGA was carried out for a relaxed KNd2Tm3Te6 crystal.

abc: 10.0583 10.0583 9.1230
angles: 105.08 105.08 25.01
Fractional positions:
K  0.0000  0.0000  0.0000
Nd  0.3260  0.3260  0.6476
Nd  0.6740  0.6740  0.3524
Tm  0.0000  0.0000  0.5000
Tm  0.3357  0.3357  0.1726
Tm  0.6643  0.6643  0.8274
Te  0.1605  0.1605  0.5962
Te  0.1746  0.1746  0.0787
Te  0.4994  0.4994  0.2694
Te  0.5006  0.5006  0.7306
Te  0.8254  0.8254  0.9213
Te  0.8395  0.8395  0.4038

Calculated total energy: -4.8849 eV/atom
Magnetic moment: 0.0 μB/cell
Formation energy (no corrections): -1.310 eV per atom
Crystal system: monoclinic